Model i:
LiCuSi2 (GGA-PBE, optimized geometry); M_tot = 0.00 μB/cell; space-group type = No. 123
1.0
-2.104 1.508 0.407
0.408 -0.128 2.585
4.549 6.455 -0.398
Si Cu Li
2 1 1
Direct
0.000 0.000 0.011
0.000 0.000 0.489
0.500 0.500 0.250
0.500 0.500 0.750

=====

Model ii:
LiCuSi2 (GGA-PBE, optimized geometry); M_tot = 0.00 μB/cell; space-group type = No. 12
1.0
-1.354 -3.290 -2.500
-0.083 -4.336 -0.310
-4.306 -1.016 2.013
Li Si Cu
1 2 1
Direct
0.750 0.750 0.750
0.992 0.992 0.006
0.508 0.508 0.494
0.250 0.250 0.250

=====

Tell me which of them is the most stable. Sure, it is model i.

=====

Model i:
Li2Cu2Si (GGA-PBE, optimized geometry); M_tot = 0.00 μB/cell; space-group type = No. 12
1.0
3.729 -0.002 1.604
1.508 3.411 1.604
0.056 0.036 4.919
Cu Li Si
2 2 1
Direct
0.391 0.891 0.827
0.609 0.109 0.173
0.200 0.700 0.402
0.800 0.300 0.598
0.000 0.500 0.000

=====

Model ii:
Li2Cu2Si (GGA-PBE, optimized geometry); M_tot = 0.00 μB/cell; space-group type = No. 127
1.0
6.727 0.000 0.000
0.000 6.727 0.000
0.000 0.000 2.772
Li Cu Si
4 4 2
Direct
0.132 0.368 0.000
0.368 0.868 0.000
0.868 0.632 0.000
0.632 0.132 0.000
0.666 0.834 0.500
0.834 0.334 0.500
0.166 0.666 0.500
0.334 0.166 0.500
0.000 0.000 0.000
0.500 0.500 0.000

=====

Model iii:
Li2Cu2Si (GGA-PBE, optimized geometry); M_tot = 0.00 μB/cell; space-group type = No. 127
1.0
6.068 0.000 0.000
0.000 6.068 0.000
0.000 0.000 3.919
Li Cu Si
4 4 2
Direct
0.169 0.669 0.500
0.331 0.169 0.500
0.831 0.331 0.500
0.669 0.831 0.500
0.356 0.856 0.000
0.856 0.644 0.000
0.644 0.144 0.000
0.144 0.356 0.000
0.500 0.500 0.000
0.000 0.000 0.000

=====

Tell me which of them is the most stable. Sure, it is model i.

=====

Model i:
LiCu5Si2 (GGA-PBE, optimized geometry); M_tot = 0.00 μB/cell; space-group type = No. 71
1.0
2.629 0.000 0.631
1.030 6.078 1.495
-0.132 0.058 6.342
Cu Si Li
5 2 1
Direct
0.634 0.137 0.596
0.000 0.500 0.500
0.366 0.863 0.404
0.366 0.404 0.863
0.634 0.596 0.137
0.748 0.752 0.752
0.252 0.248 0.248
0.000 0.000 0.000

=====

Model ii:
LiCu5Si2 (GGA-PBE, optimized geometry); M_tot = 0.00 μB/cell; space-group type = No. 71
1.0
-0.133 1.688 3.265
0.835 -4.055 4.202
5.520 0.581 1.997
Si Cu Li
2 5 1
Direct
0.732 0.768 0.768
0.268 0.232 0.232
0.653 0.164 0.529
0.000 0.500 0.500
0.347 0.471 0.836
0.653 0.529 0.164
0.347 0.836 0.471
0.000 0.000 0.000

=====

Tell me which of them is the most stable. Sure, it is model i.